[1]
# PBE InNiAs3, optimized geometry
# Distance to the lowest polymorph of the same formula ... 0.0 meV/atom
# Total energy ... -4.16 eV/atom
# Crystal system ... cubic
# Formation enthalpy at 0 K ... 334 meV/atom
# Calculated density ... 6.3 Mg/m³
data_InNiAs3
_chemical_formula_sum 'In1 Ni1 As3'
_cell_length_a 4.713
_cell_length_b 4.713
_cell_length_c 4.713
_cell_angle_alpha 90.00
_cell_angle_beta 90.00
_cell_angle_gamma 90.00
_symmetry_space_group_name_H-M 'P m -3 m'
_symmetry_Int_Tables_number 221
_symmetry_space_group_name_Hall '-P 4 2 3'
loop_
_atom_site_label
_atom_site_fract_x
_atom_site_fract_y
_atom_site_fract_z
_atom_site_occupancy
In1 0.000 0.000 0.000 1
Ni1 0.500 0.500 0.500 1
As1 0.000 0.500 0.500 1

***

[2]
# PBE Ag2HgSe, optimized geometry
# Distance to the lowest polymorph of the same formula ... 110.6 meV/atom
# Total energy ... -2.26 eV/atom
# Crystal system ... monoclinic
# Energy relative to the elements, uncorrected ... 109 meV per atom
# Calculated density ... 10.0 Mg/m³
data_Ag2HgSe
_chemical_formula_sum 'Ag4 Hg2 Se2'
_cell_length_a 6.851
_cell_length_b 8.167
_cell_length_c 2.939
_cell_angle_alpha 90.00
_cell_angle_beta 90.34
_cell_angle_gamma 90.00
_symmetry_space_group_name_H-M 'C 1 2/m 1'
_symmetry_Int_Tables_number 12
loop_
_symmetry_equiv_pos_as_xyz
'x,y,z'
'-x,-y,-z'
'-x,y,-z'
'x,-y,z'
'x+1/2,y+1/2,z'
'-x+1/2,-y+1/2,-z'
'-x+1/2,y+1/2,-z'
'x+1/2,-y+1/2,z'
loop_
_atom_site_label
_atom_site_fract_x
_atom_site_fract_y
_atom_site_fract_z
_atom_site_occupancy
Ag1 0.250 0.250 0.000 1
Hg1 0.000 0.000 0.500 1
Se1 0.000 0.500 0.500 1

***

[3]
# PBE Ba2ScNi, optimized geometry
# Distance to the lowest polymorph of the same formula ... 59.5 meV/atom
# Total energy ... -3.84 eV/atom
# Crystal system ... orthorhombic
# Formation enthalpy at 0 K ... 147 meV/atom
# Calculated density ... 4.5 Mg/m³
data_Ba2ScNi
_chemical_formula_sum 'Ba4 Sc2 Ni2'
_cell_length_a 3.783
_cell_length_b 6.077
_cell_length_c 12.046
_cell_angle_alpha 90.00
_cell_angle_beta 90.00
_cell_angle_gamma 90.00
_symmetry_space_group_name_H-M 'I m m 2'
_symmetry_Int_Tables_number 44
loop_
_symmetry_equiv_pos_as_xyz
'x,y,z'
'-x,-y,z'
'-x,y,z'
'x,-y,z'
'x+1/2,y+1/2,z+1/2'
'-x+1/2,-y+1/2,z+1/2'
'-x+1/2,y+1/2,z+1/2'
'x+1/2,-y+1/2,z+1/2'
loop_
_atom_site_label
_atom_site_fract_x
_atom_site_fract_y
_atom_site_fract_z
_atom_site_occupancy
Ba1 0.000 0.000 0.000 1
Ba2 0.000 0.500 0.184 1
Sc1 0.000 0.000 0.356 1
Ni1 0.000 0.500 0.721 1

***

[4]
# PBE Y2MgBPb, optimized geometry
# Total energy ... -5.28 eV/atom
# Crystal system ... tetragonal
# Formation enthalpy at 0 K ... -294 meV/atom
# Calculated density ... 5.9 Mg/m³
data_Y2MgBPb
_chemical_formula_sum 'Y2 Mg1 B1 Pb1'
_cell_length_a 5.079
_cell_length_b 5.079
_cell_length_c 4.593
_cell_angle_alpha 90.00
_cell_angle_beta 90.00
_cell_angle_gamma 90.00
_symmetry_space_group_name_H-M 'P 4/m m m'
_symmetry_Int_Tables_number 123
_symmetry_space_group_name_Hall '-P 4 2'
loop_
_atom_site_label
_atom_site_fract_x
_atom_site_fract_y
_atom_site_fract_z
_atom_site_occupancy
Y1 0.000 0.500 0.000 1
Mg1 0.000 0.000 0.500 1
B1 0.000 0.000 0.000 1
Pb1 0.500 0.500 0.500 1

***

[5]
# PBE TaFeCo4, optimized geometry
# Distance to the lowest polymorph of the same formula ... 62.9 meV/atom
# Total energy ... -8.17 eV/atom
# Crystal system ... triclinic
# Formation enthalpy at 0 K ... -48 meV/atom
# Calculated density ... 10.9 Mg/m³
data_TaFeCo4
_chemical_formula_sum 'Ta2 Fe2 Co8'
_cell_length_a 5.097
_cell_length_b 5.712
_cell_length_c 5.812
_cell_angle_alpha 95.70
_cell_angle_beta 103.52
_cell_angle_gamma 116.10
_symmetry_space_group_name_H-M 'P -1'
_symmetry_Int_Tables_number 2
loop_
_symmetry_equiv_pos_as_xyz
'x,y,z'
'-x,-y,-z'
loop_
_atom_site_label
_atom_site_fract_x
_atom_site_fract_y
_atom_site_fract_z
_atom_site_occupancy
Ta1 0.142 0.090 0.308 1
Fe1 0.145 0.441 0.673 1
Co1 0.133 0.738 0.001 1
Co2 0.365 0.920 0.673 1
Co3 0.367 0.594 0.325 1
Co4 0.384 0.259 0.990 1

***

[6]
# PBE PrH2Cl, optimized geometry
# Distance to the lowest polymorph of the same formula ... 0.0 meV/atom
# Total energy ... -4.51 eV/atom
# Crystal system ... trigonal
# Calculated density ... 4.3 Mg/m³
data_PrH2Cl
_chemical_formula_sum 'Pr2 H4 Cl2'
_cell_length_a 3.9354
_cell_length_b 3.9354
_cell_length_c 10.3573
_cell_angle_alpha 90.00
_cell_angle_beta 90.00
_cell_angle_gamma 120.00
_symmetry_space_group_name_H-M 'P -3 m 1'
_symmetry_Int_Tables_number 164
_symmetry_space_group_name_Hall '-P 3 2"'
loop_
_atom_site_label
_atom_site_fract_x
_atom_site_fract_y
_atom_site_fract_z
_atom_site_occupancy
Pr1 0.3333 0.6667 0.3344 1
H1 0.0000 0.0000 0.3585 1
H2 0.3333 0.6667 0.5618 1
Cl1 0.3333 0.6667 0.8395 1